A plane-wave DFT calculation with PBE was carried out for an optimized crystal structure of LiMg5Tl6.

ΔE to the lowest computed polymorph	0	meV/atom
energy of formation	-0.08	eV/atom
crystal system	monoclinic
SG	No. 10
Fermi-level density of states	3.29	states/eV/cell

The structure in CIF format:
```
data_LiMg5Tl6
_chemical_formula_sum 'Li1 Mg5 Tl6'
_space_group_name_H-M_alt 'P 1'
_space_group_IT_number 1
_cell_length_a 5.200
_cell_length_b 7.151
_cell_length_c 8.270
_cell_angle_alpha 90.00
_cell_angle_beta 107.93
_cell_angle_gamma 90.00
loop_
_space_group_symop_operation_xyz
'x,y,z'
loop_
_atom_site_label
_atom_site_type_symbol
_atom_site_fract_x
_atom_site_fract_y
_atom_site_fract_z
_atom_site_occupancy
Li1 Li 0.000 0.000 0.000 1
Mg1 Mg 0.000 0.500 0.000 1
Mg2 Mg 0.333 0.500 0.664 1
Mg3 Mg 0.334 0.000 0.664 1
Mg4 Mg 0.666 0.000 0.336 1
Mg5 Mg 0.667 0.500 0.336 1
Tl1 Tl 0.163 0.248 0.329 1
Tl2 Tl 0.163 0.752 0.329 1
Tl3 Tl 0.500 0.245 0.000 1
Tl4 Tl 0.500 0.755 0.000 1
Tl5 Tl 0.837 0.248 0.671 1
Tl6 Tl 0.837 0.752 0.671 1
```